Entry 1:
! Ho2Lu3Hg3 PBE-GGA optimized geometry; values from VASP
! - energy relative to the elements (meV/atom) = -248
! - energy above the most stable polymorph in this dataset (eV/f.u.) = 0.00
&SYSTEM
  ibrav = 0, nat = 8, ntyp = 3
/
ATOMIC_SPECIES
Lu 174.97 Lu.upf
Ho 164.93 Ho.upf
Hg 200.59 Hg.upf
ATOMIC_POSITIONS angstrom
Lu -1.481 0.000 5.061
Lu 5.129 2.665 0.895
Lu 3.571 2.665 3.873
Ho 0.381 2.665 3.804
Ho 3.199 0.000 1.997
Hg -0.052 0.000 2.038
Hg 1.817 2.665 0.879
Hg 1.906 0.000 4.915
CELL_PARAMETERS angstrom
6.537 0.000 0.000
0.000 5.331 0.000
-2.920 0.000 5.866

***

Entry 2:
# PtS4N3Cl

A relaxed structure of PtS4N3Cl (PBE-GGA, OQMD via LeMat-Bulk). Values from VASP.

```
&SYSTEM
  ibrav = 0, nat = 36, ntyp = 4
/
ATOMIC_SPECIES
S 32.06 S.upf
N 14.01 N.upf
Cl 35.45 Cl.upf
Pt 195.08 Pt.upf
ATOMIC_POSITIONS angstrom
S 2.712 3.534 12.151
S 0.115 1.836 1.048
S 4.764 5.322 11.368
S 4.764 5.322 8.430
S 5.077 8.904 12.151
S 2.712 3.534 7.647
S 5.077 8.904 7.647
S 2.481 7.205 5.552
S 0.429 5.417 4.769
S 3.025 10.692 8.430
S 0.115 1.836 5.552
S 0.429 5.417 1.830
S 2.168 0.047 1.830
S 2.168 0.047 4.769
S 3.025 10.692 11.368
S 2.481 7.205 1.048
N 1.259 6.169 5.864
N 3.855 9.939 12.464
N 1.501 0.540 3.300
N 1.338 0.800 0.735
N 1.096 5.910 3.300
N 1.338 0.800 5.864
N 1.259 6.169 0.735
N 3.934 4.570 12.464
N 3.855 9.939 7.334
N 3.934 4.570 7.334
N 4.097 4.829 9.899
N 3.692 10.199 9.899
Cl 4.271 8.836 3.300
Cl 3.518 3.466 3.300
Cl 0.921 1.903 9.899
Cl 1.675 7.273 9.899
Pt 2.570 7.243 3.300
Pt 2.623 3.496 9.899
Pt 5.166 8.866 9.899
Pt 0.027 1.873 3.300
CELL_PARAMETERS angstrom
5.193 0.000 0.000
0.000 10.739 0.000
0.000 0.000 13.199
```

***

Entry 3:
! Sr2PdSO6 PBE-GGA optimized geometry; values from VASP
! - energy above the most stable polymorph in this dataset (eV/f.u.) = 1.19
&SYSTEM
  ibrav = 0, nat = 20, ntyp = 4
/
ATOMIC_SPECIES
O 16.00 O.upf
Pd 106.42 Pd.upf
S 32.06 S.upf
Sr 87.62 Sr.upf
ATOMIC_POSITIONS angstrom
O 4.753 -4.517 4.061
O 1.370 -2.704 6.836
O 1.137 -1.417 3.886
O 3.564 -3.774 2.103
O 1.711 -4.303 -0.400
O 1.023 -1.955 -0.753
O 2.990 -0.888 6.388
O 0.537 -3.056 2.241
O 3.678 -3.237 6.741
O -0.052 -0.674 1.927
O 3.331 -2.488 -0.847
O 4.164 -2.135 3.747
Pd 3.050 -0.216 4.460
Pd 0.000 0.000 0.000
S -0.300 -1.915 3.155
S 1.951 -3.060 -1.627
Sr 2.468 -1.620 1.416
Sr 2.233 -3.571 4.573
Sr 4.415 -4.698 -0.205
Sr 0.286 -0.494 6.193
CELL_PARAMETERS angstrom
-1.399 -4.759 -2.932
5.302 -1.361 -0.322
0.799 0.928 9.242

***

Entry 4:
# Rb2LiPdBr6

A relaxed structure of Rb2LiPdBr6 (PBE-GGA, OQMD via LeMat-Bulk). Values from VASP.

```
&SYSTEM
  ibrav = 0, nat = 10, ntyp = 4
/
ATOMIC_SPECIES
Br 79.90 Br.upf
Li 6.94 Li.upf
Rb 85.47 Rb.upf
Pd 106.42 Pd.upf
ATOMIC_POSITIONS angstrom
Br -2.276 -3.930 3.904
Br -2.539 0.148 0.481
Br 0.614 -6.191 5.144
Br -0.085 -5.834 1.351
Br 0.196 -1.982 1.647
Br 0.895 -2.340 5.440
Li 0.405 -4.087 3.395
Rb -2.884 -3.592 0.203
Rb -1.931 -0.190 4.183
Pd 0.000 0.000 0.000
CELL_PARAMETERS angstrom
-0.548 -7.488 -0.585
1.359 -0.685 7.376
-5.625 4.392 -2.406
```

***

Entry 5:
# PuSiAs

A relaxed structure of PuSiAs (PBE-GGA, OQMD via LeMat-Bulk). Values from VASP.

```
&SYSTEM
  ibrav = 0, nat = 3, ntyp = 3
/
ATOMIC_SPECIES
As 74.92 As.upf
Pu 244.00 Pu.upf
Si 28.09 Si.upf
ATOMIC_POSITIONS angstrom
As -2.157 1.748 0.362
Pu -6.472 5.244 1.086
Si 0.000 0.000 0.000
CELL_PARAMETERS angstrom
-2.040 2.856 2.931
-2.030 3.795 -1.544
-4.559 0.341 0.062
```

***

Entry 6:
! RbZrRe PBE-GGA optimized geometry; values from VASP
! - energy above the most stable polymorph in this dataset (eV/f.u.) = 3.43
&SYSTEM
  ibrav = 0, nat = 3, ntyp = 3
/
ATOMIC_SPECIES
Rb 85.47 Rb.upf
Zr 91.22 Zr.upf
Re 186.21 Re.upf
ATOMIC_POSITIONS angstrom
Rb 0.000 0.000 0.000
Zr -7.761 -3.902 -1.055
Re -2.587 -1.301 -0.352
CELL_PARAMETERS angstrom
-4.527 -0.116 1.476
-3.492 -0.937 -3.100
-2.328 -4.150 0.218

***

Entry 7:
! LiPmSi PBE-GGA optimized geometry; values from VASP
! - energy above the most stable polymorph in this dataset (eV/f.u.) = 0.61
&SYSTEM
  ibrav = 0, nat = 3, ntyp = 3
/
ATOMIC_SPECIES
Li 6.94 Li.upf
Pm 145.00 Pm.upf
Si 28.09 Si.upf
ATOMIC_POSITIONS angstrom
Li 0.000 0.000 0.000
Pm -2.542 -0.993 0.089
Si -7.627 -2.979 0.268
CELL_PARAMETERS angstrom
-2.451 -3.719 0.223
-3.824 -0.016 2.294
-3.894 -0.237 -2.160

***

Entry 8:
# ZrBi

A relaxed structure of ZrBi (PBE-GGA, OQMD via LeMat-Bulk). Values from VASP.

```
&SYSTEM
  ibrav = 0, nat = 10, ntyp = 2
/
ATOMIC_SPECIES
Bi 208.98 Bi.upf
Zr 91.22 Zr.upf
ATOMIC_POSITIONS angstrom
Bi 0.131 -5.386 6.167
Bi -0.302 -6.652 0.913
Bi 1.532 -8.083 3.865
Bi 1.514 -4.661 3.143
Bi -1.797 -3.881 3.064
Zr -3.254 -5.924 1.366
Zr -0.117 -0.372 -0.094
Zr -0.090 -8.394 6.456
Zr -1.790 -7.513 3.813
Zr -0.169 -3.562 0.479
CELL_PARAMETERS angstrom
-1.704 -5.131 -1.430
3.201 -5.728 5.807
-4.503 0.631 3.104
```

***

One value per record, in order, for ρ: 11.8 3.6 5.8 4.2 8.5 7.9 4.8 9.7 g cm⁻³.
One value per record, in order, for E: -25.60 -190.86 -114.54 -29.85 -24.61 -13.24 -13.09 -65.09 eV per cell.